Entry from the Alexandria database: an optimized crystal structure of NdTl5I8 (PBE).

Values from the calculation:
spin magnetization: 0.0 μB/cell
energy relative to the elements, uncorrected: -0.8469 eV per atom

a = 10.4509 Å, b = 10.4509 Å, c = 10.5635 Å
α = 90.00°, β = 90.00°, γ = 90.00°
With the nearest neighbours (Å) after each atom.
Space group I-4 (No. 82)
One atom of each set of equivalent atoms:
Nd (0.0000, 0.0000, 0.0000) x2  8 I 3.22-3.47
Tl (0.0000, 0.5000, 0.2500) x2  4 I 3.50
Tl (0.1359, 0.7610, 0.6137) x8  6 I 3.42-3.74
I (0.0656, 0.8279, 0.2729) x8  4 Tl 3.42-3.74, 1 Nd 3.47
I (0.0681, 0.7082, 0.9293) x8  1 Nd 3.22, 2 Tl 3.45-3.55